Density functional theory data (PBE-GGA) for a relaxed Nb3PdPt crystal.

## Properties
**Symmetry**: Pm-3m
**Formation energy from the elements**: 1.24 eV per atom

a = 4.779 Å, b = 4.779 Å, c = 4.779 Å
α = 90.00°, β = 90.00°, γ = 90.00°
Atoms (fractional coordinates):
Nb  0.000  0.000  0.500
Nb  0.000  0.500  0.000
Nb  0.500  0.000  0.000
Pd  0.000  0.000  0.000
Pt  0.500  0.500  0.500